{"formula": "BeAg2Se", "functional": "GGA-PBE", "state": "optimized geometry", "cell": [[-4.861, -0.509, 1.579], [1.957, -4.313, -1.986], [0.901, -0.777, 2.554]], "species": ["Be", "Se", "Ag", "Ag"], "fractional_positions": [[0.500, 0.000, 0.500], [0.000, 0.500, 0.500], [0.000, 0.000, 0.000], [0.500, 0.500, 0.000]], "relative_energy_mev_per_atom": 401, "raw_formation_energy_ev_per_atom": 0.3896, "mass_density_g_cm3": 7.4, "dft_energy_ev_per_atom": -2.84, "dos_at_fermi_per_ev_cell": 1.7, "spacegroup": "C2/m, No. 12"}